(1)
## Na3Nd2ZrS6 (PBE)

Data for an optimized crystal structure of Na3Nd2ZrS6.

Computed properties:
Density (g/cm3): 3.8
Formation energy without anion corrections (eV per atom): -1.6577
Symmetry: No. 12

The structure in CIF format:
```
data_Na3Nd2ZrS6
_symmetry_space_group_name_H-M 'P 1'
_symmetry_Int_Tables_number 1
_cell_length_a 6.8953
_cell_length_b 6.8953
_cell_length_c 7.1299
_cell_angle_alpha 99.33
_cell_angle_beta 99.33
_cell_angle_gamma 120.01
loop_
_symmetry_equiv_pos_as_xyz
'x,y,z'
loop_
_atom_site_label
_atom_site_type_symbol
_atom_site_fract_x
_atom_site_fract_y
_atom_site_fract_z
Na1 Na 0.0000 0.0000 0.0000
Na2 Na 0.3322 0.6678 0.0000
Na3 Na 0.6678 0.3322 0.0000
Nd1 Nd 0.1667 0.8333 0.5000
Nd2 Nd 0.8333 0.1667 0.5000
Zr1 Zr 0.5000 0.5000 0.5000
S1 S 0.1106 0.4223 0.2683
S2 S 0.2656 0.2656 0.7290
S3 S 0.4223 0.1106 0.2683
S4 S 0.5777 0.8894 0.7317
S5 S 0.7344 0.7344 0.2710
S6 S 0.8894 0.5777 0.7317
```

(2)
## ScInFe (PBE)

Data for an optimized crystal structure of ScInFe.

Computed properties:
Density (g/cm3): 5.8
Formation energy (meV/atom): 156
Symmetry: No. 216

The structure in CIF format:
```
data_ScInFe
_symmetry_space_group_name_H-M 'P 1'
_symmetry_Int_Tables_number 1
_cell_length_a 4.4285
_cell_length_b 4.4285
_cell_length_c 4.4285
_cell_angle_alpha 60.00
_cell_angle_beta 60.00
_cell_angle_gamma 60.00
loop_
_symmetry_equiv_pos_as_xyz
'x,y,z'
loop_
_atom_site_label
_atom_site_type_symbol
_atom_site_fract_x
_atom_site_fract_y
_atom_site_fract_z
Sc1 Sc 0.0000 0.0000 0.0000
In1 In 0.5000 0.5000 0.5000
Fe1 Fe 0.7500 0.7500 0.7500
```

(3)
## YCrRuW2 (PBE)

Data for an optimized crystal structure of YCrRuW2.

Computed properties:
Density (g/cm3): 9.0
Formation energy (meV/atom): 1803
Symmetry: No. 123

The structure in CIF format:
```
data_YCrRuW2
_symmetry_space_group_name_H-M 'P 1'
_symmetry_Int_Tables_number 1
_cell_length_a 4.7085
_cell_length_b 4.7085
_cell_length_c 5.0860
_cell_angle_alpha 90.00
_cell_angle_beta 90.00
_cell_angle_gamma 90.00
loop_
_symmetry_equiv_pos_as_xyz
'x,y,z'
loop_
_atom_site_label
_atom_site_type_symbol
_atom_site_fract_x
_atom_site_fract_y
_atom_site_fract_z
Y1 Y 0.0000 0.0000 0.0000
Cr1 Cr 0.5000 0.5000 0.0000
Ru1 Ru 0.0000 0.0000 0.5000
W1 W 0.0000 0.5000 0.5000
W2 W 0.5000 0.0000 0.5000
```

(4)
## ReAg (PBE)

Data for an optimized crystal structure of ReAg.

Computed properties:
Density (g/cm3): 14.8
Formation energy (meV/atom): 388
Symmetry: No. 67
Distance to the lowest polymorph of the same formula (meV/atom): 141

The structure in CIF format:
```
data_ReAg
_symmetry_space_group_name_H-M 'P 1'
_symmetry_Int_Tables_number 1
_cell_length_a 2.7366
_cell_length_b 2.7366
_cell_length_c 9.7397
_cell_angle_alpha 90.00
_cell_angle_beta 90.00
_cell_angle_gamma 115.52
loop_
_symmetry_equiv_pos_as_xyz
'x,y,z'
loop_
_atom_site_label
_atom_site_type_symbol
_atom_site_fract_x
_atom_site_fract_y
_atom_site_fract_z
Re1 Re 0.2500 0.7500 0.8895
Re2 Re 0.7500 0.2500 0.1105
Ag1 Ag 0.2500 0.7500 0.3713
Ag2 Ag 0.7500 0.2500 0.6287
```

(5)
## InHRh3 (PBE)

Data for an optimized crystal structure of InHRh3.

Computed properties:
Density (g/cm3): 10.3
Symmetry: No. 194
Distance to the lowest polymorph of the same formula (meV/atom): 399

The structure in CIF format:
```
data_InHRh3
_symmetry_space_group_name_H-M 'P 1'
_symmetry_Int_Tables_number 1
_cell_length_a 4.4930
_cell_length_b 4.4930
_cell_length_c 7.8315
_cell_angle_alpha 90.00
_cell_angle_beta 90.00
_cell_angle_gamma 120.00
loop_
_symmetry_equiv_pos_as_xyz
'x,y,z'
loop_
_atom_site_label
_atom_site_type_symbol
_atom_site_fract_x
_atom_site_fract_y
_atom_site_fract_z
In1 In 0.3333 0.6667 0.2500
In2 In 0.6667 0.3333 0.7500
H1 H 0.0000 0.0000 0.0000
H2 H 0.0000 0.0000 0.5000
Rh1 Rh 0.0000 0.0000 0.2500
Rh2 Rh 0.0000 0.0000 0.7500
Rh3 Rh 0.3333 0.6667 0.5829
Rh4 Rh 0.3333 0.6667 0.9171
Rh5 Rh 0.6667 0.3333 0.0829
Rh6 Rh 0.6667 0.3333 0.4171
```

(6)
## ReSeI3 (PBE)

Data for an optimized crystal structure of ReSeI3.

Computed properties:
Density (g/cm3): 7.0
Formation energy without anion corrections (eV per atom): 0.8720
Symmetry: No. 221
Distance to the lowest polymorph of the same formula (meV/atom): 0

The structure in CIF format:
```
data_ReSeI3
_symmetry_space_group_name_H-M 'P 1'
_symmetry_Int_Tables_number 1
_cell_length_a 5.3620
_cell_length_b 5.3620
_cell_length_c 5.3620
_cell_angle_alpha 90.00
_cell_angle_beta 90.00
_cell_angle_gamma 90.00
loop_
_symmetry_equiv_pos_as_xyz
'x,y,z'
loop_
_atom_site_label
_atom_site_type_symbol
_atom_site_fract_x
_atom_site_fract_y
_atom_site_fract_z
Re1 Re 0.0000 0.0000 0.0000
Se1 Se 0.5000 0.5000 0.5000
I1 I 0.0000 0.0000 0.5000
I2 I 0.0000 0.5000 0.0000
I3 I 0.5000 0.0000 0.0000
```

(7)
## Ba2Ga3Ge (PBE)

Data for an optimized crystal structure of Ba2Ga3Ge.

Computed properties:
Density (g/cm3): 5.3
Formation energy (meV/atom): -526
Symmetry: No. 69

The structure in CIF format:
```
data_Ba2Ga3Ge
_symmetry_space_group_name_H-M 'P 1'
_symmetry_Int_Tables_number 1
_cell_length_a 9.2257
_cell_length_b 8.8685
_cell_length_c 6.7683
_cell_angle_alpha 70.87
_cell_angle_beta 65.26
_cell_angle_gamma 43.88
loop_
_symmetry_equiv_pos_as_xyz
'x,y,z'
loop_
_atom_site_label
_atom_site_type_symbol
_atom_site_fract_x
_atom_site_fract_y
_atom_site_fract_z
Ba1 Ba 0.2416 0.7584 0.2416
Ba2 Ba 0.2500 0.2500 0.2500
Ba3 Ba 0.7500 0.7500 0.7500
Ba4 Ba 0.7584 0.2416 0.7584
Ga1 Ga 0.1693 0.6644 0.8307
Ga2 Ga 0.3346 0.3346 0.6654
Ga3 Ga 0.3356 0.8307 0.6644
Ga4 Ga 0.6644 0.1693 0.3356
Ga5 Ga 0.6654 0.6654 0.3346
Ga6 Ga 0.8307 0.3356 0.1693
Ge1 Ge 0.1675 0.1675 0.8325
Ge2 Ge 0.8325 0.8325 0.1675
```

Number 1: calculated total energy -5.56 eV/atom. Number 2: calculated total energy -5.69 eV/atom. Number 3: calculated total energy -8.45 eV/atom. Number 4: calculated total energy -7.26 eV/atom. Number 5: calculated total energy -5.43 eV/atom. Number 6: calculated total energy -3.24 eV/atom. Number 7: calculated total energy -3.45 eV/atom.